No. 1
A plane-wave DFT calculation with PBE was carried out for an optimized crystal structure of Pm4SmAl.

Properties
polymorph energy (0 for the lowest one)	0	meV per atom
formation enthalpy at 0 K	-99.7	meV per atom

Unit cell a=3.618 b=3.618 c=14.412 alpha=90.00 beta=90.00 gamma=90.00
Space group P4/mmm (No. 123)
Asymmetric unit:
Pm: 0.000 0.000 0.135 x2
Pm: 0.500 0.500 0.319 x2
Sm: 0.000 0.000 0.500 x1
Al: 0.500 0.500 0.000 x1

---

No. 2
A plane-wave DFT calculation with PBE was carried out for an optimized crystal structure of Y7Hg2Ir2.

Properties
formation enthalpy at 0 K	-457.0	meV per atom

Unit cell a=8.129 b=10.884 c=7.121 alpha=90.00 beta=90.00 gamma=90.00
Space group Cmmm (No. 65)
Asymmetric unit:
Y: 0.000 0.000 0.000 x2
Y: 0.000 0.500 0.244 x4
Y: 0.250 0.250 0.251 x8
Hg: 0.184 0.000 0.500 x4
Ir: 0.000 0.287 0.000 x4

---

No. 3
A plane-wave DFT calculation with PBE was carried out for an optimized crystal structure of CdPtSe2Br.

Properties
E_form (uncorrected)	0.19	eV/atom
polymorph energy (0 for the lowest one)	0	meV per atom

Unit cell a=5.010 b=5.010 c=5.163 alpha=90.00 beta=90.00 gamma=90.00
Space group P4/mmm (No. 123)
Asymmetric unit:
Cd: 0.000 0.000 0.000 x1
Pt: 0.500 0.500 0.500 x1
Se: 0.000 0.500 0.500 x2
Br: 0.500 0.500 0.000 x1

---

No. 4
A plane-wave DFT calculation with PBE was carried out for an optimized crystal structure of HgSIO2.

Properties
E_form (uncorrected)	0.65	eV/atom

Unit cell a=4.081 b=4.081 c=8.319 alpha=90.00 beta=90.00 gamma=90.00
Space group P4/mmm (No. 123)
Asymmetric unit:
Hg: 0.000 0.000 0.000 x1
S: 0.500 0.500 0.500 x1
I: 0.000 0.000 0.500 x1
O: 0.000 0.500 0.000 x2

---

No. 5
A plane-wave DFT calculation with PBE was carried out for an optimized crystal structure of CeSmTeSe.

Properties
E_form (uncorrected)	-1.60	eV/atom

Unit cell a=4.2976 b=4.2976 c=21.5433 alpha=90.00 beta=90.00 gamma=120.00
Space group R3m (No. 160, hexagonal axes)
Asymmetric unit:
Ce: 0.0000 0.0000 0.0000 x3
Sm: 0.0000 0.0000 0.5183 x3
Te: 0.0000 0.0000 0.7600 x3
Se: 0.0000 0.0000 0.2574 x3

---

No. 6
A plane-wave DFT calculation with PBE was carried out for an optimized crystal structure of La3MnRh.

Properties
formation enthalpy at 0 K	152.0	meV per atom

Unit cell a=5.117 b=5.117 c=5.117 alpha=90.00 beta=90.00 gamma=90.00
Space group Pm-3m (No. 221)
Asymmetric unit:
La: 0.000 0.000 0.500 x3
Mn: 0.000 0.000 0.000 x1
Rh: 0.500 0.500 0.500 x1

---

No. 7
A plane-wave DFT calculation with PBE was carried out for an optimized crystal structure of DyZr2In.

Properties
polymorph energy (0 for the lowest one)	0	meV per atom
formation enthalpy at 0 K	-209.0	meV per atom

Unit cell a=4.459 b=4.331 c=10.955 alpha=90.00 beta=101.72 gamma=90.00
Space group P2_1/m (No. 11)
Asymmetric unit:
Dy: 0.191 0.250 0.384 x2
Zr: 0.053 0.750 0.107 x2
Zr: 0.448 0.750 0.895 x2
In: 0.341 0.250 0.681 x2

---

No. 8
A plane-wave DFT calculation with PBE was carried out for an optimized crystal structure of Ta5Be2As.

Properties
formation enthalpy at 0 K	-352.3	meV per atom

Unit cell a=6.413 b=6.413 c=11.827 alpha=90.00 beta=90.00 gamma=90.00
Space group I4/mcm (No. 140)
Asymmetric unit:
Ta: 0.000 0.000 0.000 x4
Ta: 0.167 0.333 0.142 x16
Be: 0.123 0.377 0.500 x8
As: 0.000 0.000 0.250 x4